1.
Computed, not measured: an optimized crystal structure of Rb2NaCl at the PBE-GGA level of DFT.

Lattice parameters (Å, degrees): 4.6042 4.6042 33.3746 90.00 90.00 120.00
Space group R3m (No. 160, hexagonal axes)
Unique sites:
Rb: 0.0000 0.0000 0.0000 x3
Rb: 0.0000 0.0000 0.2121 x3
Na: 0.0000 0.0000 0.4393 x3
Cl: 0.0000 0.0000 0.6059 x3

=====

2.
Computed, not measured: an optimized crystal structure of Rb2NaCl at the PBE-GGA level of DFT.

Lattice parameters (Å, degrees): 9.106 9.106 9.106 90.00 90.00 90.00
Space group Fm-3m (No. 225)
Unique sites:
Rb: 0.250 0.250 0.250 x8
Na: 0.000 0.000 0.000 x4
Cl: 0.000 0.000 0.500 x4

=====

3.
Computed, not measured: an optimized crystal structure of RbNa2Cl at the PBE-GGA level of DFT.

Lattice parameters (Å, degrees): 4.2070 4.2070 34.0598 90.00 90.00 120.00
Space group R-3m (No. 166, hexagonal axes)
Unique sites:
Rb: 0.0000 0.0000 0.0000 x3
Na: 0.0000 0.0000 0.1193 x6
Cl: 0.0000 0.0000 0.5000 x3

=====

4.
Computed, not measured: an optimized crystal structure of Rb2NaCl3 at the PBE-GGA level of DFT.

Lattice parameters (Å, degrees): 14.250 6.614 8.848 90.00 108.07 90.00
Space group C2/c (No. 15)
Unique sites:
Rb: 0.171 0.000 0.085 x8
Na: 0.000 0.465 0.250 x4
Cl: 0.000 0.040 0.250 x4
Cl: 0.143 0.500 0.072 x8

=====

5.
Computed, not measured: an optimized crystal structure of RbNaCl2 at the PBE-GGA level of DFT.

Lattice parameters (Å, degrees): 4.2728 4.2728 22.4440 90.00 90.00 120.00
Space group R3m (No. 160, hexagonal axes)
Unique sites:
Rb: 0.0000 0.0000 0.0000 x3
Na: 0.0000 0.0000 0.1698 x3
Cl: 0.0000 0.0000 0.5720 x3
Cl: 0.0000 0.0000 0.7641 x3

=====

6.
Computed, not measured: an optimized crystal structure of RbNa2Cl2 at the PBE-GGA level of DFT.

Lattice parameters (Å, degrees): 5.105 5.105 18.383 90.00 90.00 90.00
Space group I4/mmm (No. 139)
Unique sites:
Rb: 0.000 0.000 0.000 x2
Na: 0.000 0.500 0.250 x4
Cl: 0.000 0.000 0.301 x4

=====

7.
Computed, not measured: an optimized crystal structure of RbNaCl2 at the PBE-GGA level of DFT.

Lattice parameters (Å, degrees): 4.3396 4.3396 21.8075 90.00 90.00 120.00
Space group R-3m (No. 166, hexagonal axes)
Unique sites:
Rb: 0.0000 0.0000 0.0000 x3
Na: 0.0000 0.0000 0.5000 x3
Cl: 0.0000 0.0000 0.2373 x6

=====

8.
Computed, not measured: an optimized crystal structure of Rb3Na5Cl12 at the PBE-GGA level of DFT.

Lattice parameters (Å, degrees): 17.463 17.463 17.463 90.00 90.00 90.00
Space group Ia-3d (No. 230)
Unique sites:
Rb: 0.000 0.250 0.125 x24
Na: 0.000 0.000 0.000 x16
Na: 0.000 0.250 0.375 x24
Cl: 0.048 0.073 0.638 x96

=====

Number 1: formation energy without anion corrections -3.56 eV/f.u.. Number 2: formation energy without anion corrections -2.73 eV/f.u.. Number 3: formation energy without anion corrections -2.91 eV/f.u.. Number 4: formation energy without anion corrections -11.15 eV/f.u.. Number 5: formation energy without anion corrections -7.28 eV/f.u.. Number 6: formation energy without anion corrections -6.46 eV/f.u.. Number 7: formation energy without anion corrections -7.35 eV/f.u.. Number 8: formation energy without anion corrections -25.28 eV/f.u..